The following is a meta-GGA SCAN calculation of a crystal of SiTe2Br relaxed with PBEsol, from the Alexandria database.

The calculation puts the formation energy (no corrections) at 71 kJ/mol of formula units. As for the density of states at the Fermi level: 1.31 states/eV/f.u.

It has space group Pm (No. 6), with a = 3.972 Å, b = 5.282 Å, c = 5.637 Å, α = 90.00°, β = 108.74° and γ = 90.00°. The asymmetric unit holds Si at (0.000, 0.000, 0.000), Te at (0.642, 0.000, 0.332), Te at (0.842, 0.500, 0.093) and Br at (0.298, 0.500, 0.618).